[1]
! EuSi3Ir, optimized geometry, DFT PBE; values from VASP
! SG: I4mm (107)
! Energy relative to the elements, uncorrected (eV/atom): -0.720
&SYSTEM
  ibrav = 0, nat = 5, ntyp = 3
/
ATOMIC_SPECIES
Eu 151.96 Eu.upf
Si 28.09 Si.upf
Ir 192.22 Ir.upf
ATOMIC_POSITIONS angstrom
Eu 0.000 0.000 0.000
Si 2.120 0.000 2.610
Si 0.000 0.000 4.107
Si 0.000 2.120 2.610
Ir 0.000 0.000 6.478
CELL_PARAMETERS angstrom
-2.120 2.120 4.959
2.120 -2.120 4.959
2.120 2.120 -4.959

***

[2]
! Tb7TlZn4, optimized geometry, DFT PBE; values from VASP
! SG: C2/m (12)
! Formation energy from the elements (eV per atom): -0.1056
&SYSTEM
  ibrav = 0, nat = 12, ntyp = 3
/
ATOMIC_SPECIES
Tb 158.93 Tb.upf
Tl 204.38 Tl.upf
Zn 65.41 Zn.upf
ATOMIC_POSITIONS angstrom
Tb 0.000 0.000 0.000
Tb 0.111 0.000 5.335
Tb 3.881 0.000 0.972
Tb 3.338 0.000 4.631
Tb 6.297 0.000 3.186
Tb 5.753 0.000 6.845
Tb 9.524 0.000 2.482
Tl 7.023 0.000 0.000
Zn -2.745 0.000 5.243
Zn 1.166 0.000 2.620
Zn 8.469 0.000 5.198
Zn 12.379 0.000 2.575
CELL_PARAMETERS angstrom
7.023 -2.856 0.000
7.023 2.856 0.000
-4.411 0.000 7.818

***

[3]
! KAs2Ir, optimized geometry, DFT PBE; values from VASP
! SG: I-4m2 (119)
! Formation energy from the elements (eV per atom): 0.6614
! Polymorph energy (0 for the lowest one) (eV/atom): 0.9685
&SYSTEM
  ibrav = 0, nat = 4, ntyp = 3
/
ATOMIC_SPECIES
K 39.10 K.upf
As 74.92 As.upf
Ir 192.22 Ir.upf
ATOMIC_POSITIONS angstrom
K 0.000 0.000 0.000
As 2.094 0.000 2.241
As 0.000 0.000 4.482
Ir 0.000 2.094 2.241
CELL_PARAMETERS angstrom
-2.094 2.094 4.482
2.094 -2.094 4.482
2.094 2.094 -4.482

***

[4]
! La6YHo3, optimized geometry, DFT PBE; values from VASP
! SG: R-3 (148)
! Formation energy from the elements (eV per atom): 0.2394
! Polymorph energy (0 for the lowest one) (eV/atom): 0.0525
&SYSTEM
  ibrav = 0, nat = 20, ntyp = 3
/
ATOMIC_SPECIES
La 138.91 La.upf
Y 88.91 Y.upf
Ho 164.93 Ho.upf
ATOMIC_POSITIONS angstrom
La -1.728 0.989 2.492
La 0.007 -1.991 2.492
La -0.003 -2.579 6.190
La -2.232 1.292 6.190
La 1.721 1.002 2.492
La -2.235 -1.287 12.060
La 2.235 1.287 6.190
La -1.721 -1.002 15.758
La 2.232 -1.292 12.060
La 0.003 2.579 12.060
La -0.007 1.991 15.758
La 1.728 -0.989 15.758
Y 0.000 0.000 0.000
Y 0.000 0.000 9.125
Ho -2.765 -1.582 8.181
Ho -0.012 -3.185 10.069
Ho -2.752 1.603 10.069
Ho 2.752 -1.603 8.181
Ho 0.012 3.185 8.181
Ho 2.765 1.582 10.069
CELL_PARAMETERS angstrom
5.849 3.377 6.083
-5.849 3.377 6.083
0.000 -6.754 6.083